{"formula": "MgCrP2", "functional": "GGA-PBEsol", "state": "relaxed", "magmom_total_mub_per_fu": 0.00, "delta_e_f_ev_per_atom": -0.270, "vol_a3_per_atom": 14.23, "lattice_angstrom": [[-0.019, 3.136, -0.152], [-3.363, -1.518, 1.532], [3.151, 0.214, 4.011]], "species": ["Cr", "Mg", "P", "P"], "frac_coords": [[0.000, 0.000, 0.500], [0.500, 0.000, 0.000], [0.734, 0.468, 0.674], [0.266, 0.532, 0.326]]}

***

{"formula": "MgCr2P", "functional": "GGA-PBEsol", "state": "relaxed", "magmom_total_mub_per_fu": 0.25, "delta_e_f_ev_per_atom": 0.123, "vol_a3_per_atom": 14.52, "lattice_angstrom": [[-2.174, 1.838, -0.732], [-0.807, -1.929, 3.453], [2.785, 4.084, 1.982]], "species": ["Cr", "Cr", "Mg", "P"], "frac_coords": [[0.001, 0.002, 0.994], [0.264, 0.528, 0.841], [0.498, 0.997, 0.491], [0.737, 0.474, 0.174]]}

***

{"formula": "MgCr2P", "functional": "GGA-PBEsol", "state": "relaxed", "magmom_total_mub_per_fu": 0.02, "delta_e_f_ev_per_atom": 0.199, "vol_a3_per_atom": 13.33, "lattice_angstrom": [[-2.065, 1.554, -0.886], [-0.887, -1.525, 2.086], [2.016, 5.429, 4.825]], "species": ["Cr", "Cr", "Mg", "P"], "frac_coords": [[0.000, 0.000, 0.202], [0.000, 0.000, 0.798], [0.500, 0.500, 0.500], [0.500, 0.500, 0.000]]}

***

{"formula": "MgCrPS2", "functional": "GGA-PBEsol", "state": "relaxed", "magmom_total_mub_per_fu": 1.71, "e_form_raw_ev_per_atom": -0.03, "vol_a3_per_atom": 18.34, "lattice_angstrom": [[4.335, 0.000, 0.000], [0.000, 4.600, 0.000], [0.000, 0.000, 4.600]], "species": ["Cr", "S", "S", "Mg", "P"], "frac_coords": [[0.000, 0.000, 0.000], [0.000, 0.000, 0.500], [0.000, 0.500, 0.000], [0.500, 0.500, 0.500], [0.500, 0.000, 0.000]]}

***

{"formula": "MgCrSi2P", "functional": "GGA-PBEsol", "state": "relaxed", "magmom_total_mub_per_fu": 2.80, "e_form_raw_ev_per_atom": 0.79, "vol_a3_per_atom": 19.68, "lattice_angstrom": [[4.418, 0.000, 0.000], [0.000, 4.418, 0.000], [0.000, 0.000, 5.041]], "species": ["Cr", "Si", "Si", "Mg", "P"], "frac_coords": [[0.000, 0.000, 0.000], [0.000, 0.500, 0.000], [0.500, 0.000, 0.000], [0.000, 0.000, 0.500], [0.500, 0.500, 0.500]]}

***

{"formula": "Mg2CrPt", "functional": "GGA-PBEsol", "state": "relaxed", "magmom_total_mub_per_fu": 4.06, "delta_e_f_ev_per_atom": -0.164, "vol_a3_per_atom": 16.15, "lattice_angstrom": [[4.128, 0.000, 0.000], [-2.064, 4.316, -0.016], [0.000, 1.987, 3.618]], "species": ["Cr", "Mg", "Mg", "Pt"], "frac_coords": [[0.000, 0.000, 0.000], [0.250, 0.500, 0.250], [0.750, 0.500, 0.750], [0.500, 0.000, 0.500]]}

***

{"formula": "Mg2CrPt", "functional": "GGA-PBEsol", "state": "relaxed", "magmom_total_mub_per_fu": 3.80, "delta_e_f_ev_per_atom": -0.023, "vol_a3_per_atom": 16.66, "lattice_angstrom": [[-2.721, -0.494, 0.951], [0.098, -3.554, -1.565], [2.144, -2.151, 5.019]], "species": ["Cr", "Mg", "Mg", "Pt"], "frac_coords": [[0.500, 0.500, 0.735], [0.000, 0.000, 0.984], [0.500, 0.500, 0.276], [0.000, 0.000, 0.505]]}

***

{"formula": "Mg2CrPt", "functional": "GGA-PBEsol", "state": "relaxed", "magmom_total_mub_per_fu": 3.64, "delta_e_f_ev_per_atom": -0.097, "vol_a3_per_atom": 16.16, "lattice_angstrom": [[4.505, 0.000, 0.000], [2.252, 3.901, 0.000], [2.252, 1.300, 3.678]], "species": ["Cr", "Mg", "Mg", "Pt"], "frac_coords": [[0.500, 0.500, 0.500], [0.000, 0.000, 0.000], [0.750, 0.750, 0.750], [0.250, 0.250, 0.250]]}

***

{"formula": "MgCrPt2", "functional": "GGA-PBEsol", "state": "relaxed", "magmom_total_mub_per_fu": 3.08, "delta_e_f_ev_per_atom": -0.304, "vol_a3_per_atom": 14.81, "lattice_angstrom": [[-3.178, -1.232, -1.712], [2.100, -2.132, -2.365], [0.333, -1.428, 4.659]], "species": ["Cr", "Mg", "Pt", "Pt"], "frac_coords": [[0.000, 0.000, 0.000], [0.250, 0.750, 0.500], [0.500, 0.500, 0.000], [0.750, 0.250, 0.500]]}

***

{"formula": "Rb3MgCr", "functional": "GGA-PBEsol", "state": "relaxed", "magmom_total_mub_per_fu": 5.41, "delta_e_f_ev_per_atom": 0.999, "vol_a3_per_atom": 67.71, "lattice_angstrom": [[-0.090, 0.999, -6.897], [-6.962, 0.297, 0.133], [0.313, 6.891, 0.994]], "species": ["Cr", "Mg", "Rb", "Rb", "Rb"], "frac_coords": [[0.500, 0.500, 0.500], [0.000, 0.000, 0.000], [0.000, 0.500, 0.000], [0.000, 0.000, 0.500], [0.500, 0.000, 0.000]]}

***

{"formula": "RbMg3Cr", "functional": "GGA-PBEsol", "state": "relaxed", "magmom_total_mub_per_fu": 4.61, "delta_e_f_ev_per_atom": 0.592, "vol_a3_per_atom": 32.17, "lattice_angstrom": [[-0.664, 4.466, -3.031], [-5.365, -0.214, 0.860], [0.588, 3.096, 4.432]], "species": ["Cr", "Mg", "Mg", "Mg", "Rb"], "frac_coords": [[0.000, 0.000, 0.000], [0.000, 0.500, 0.000], [0.000, 0.000, 0.500], [0.500, 0.000, 0.000], [0.500, 0.500, 0.500]]}

***

{"formula": "MgCr2Re", "functional": "GGA-PBEsol", "state": "relaxed", "magmom_total_mub_per_fu": 0.36, "delta_e_f_ev_per_atom": 0.543, "vol_a3_per_atom": 13.57, "lattice_angstrom": [[-1.354, -2.111, 0.129], [3.565, -0.627, 2.715], [-2.641, 1.923, 3.747]], "species": ["Cr", "Cr", "Mg", "Re"], "frac_coords": [[0.747, 0.494, 0.752], [0.253, 0.506, 0.248], [0.000, 0.000, 0.500], [0.500, 0.000, 0.000]]}

***

What did the third record say?
{"formula": "MgCr2P", "functional": "GGA-PBEsol", "state": "relaxed", "magmom_total_mub_per_fu": 0.02, "delta_e_f_ev_per_atom": 0.199, "vol_a3_per_atom": 13.33, "lattice_angstrom": [[-2.065, 1.554, -0.886], [-0.887, -1.525, 2.086], [2.016, 5.429, 4.825]], "species": ["Cr", "Cr", "Mg", "P"], "frac_coords": [[0.000, 0.000, 0.202], [0.000, 0.000, 0.798], [0.500, 0.500, 0.500], [0.500, 0.500, 0.000]]}